1.
Below is a relaxed GaHSN crystal, with properties calculated at the PBE-GGA level.

Results
* space group: P1 (1)
* crystal system: triclinic
* E above lowest polymorph: 417 meV/atom

Cell: 3.1191 3.1366 6.8469 Å, 82.53 89.34 62.44°
Atoms (fractional coordinates):
Ga1 0.0000 0.0000 0.0000
H1 0.9631 0.0736 0.7708
S1 0.3889 0.2132 0.3709
N1 0.3541 0.3005 0.1180

---

2.
Below is a relaxed GaHSN crystal, with properties calculated at the PBE-GGA level.

Results
* space group: Cm (8)
* crystal system: monoclinic
* E above lowest polymorph: 412 meV/atom

Cell: 4.5520 4.5520 4.9786 Å, 97.24 97.24 38.95°
Atoms (fractional coordinates):
Ga1 0.0000 0.0000 0.0000
H1 0.0608 0.0608 0.7198
S1 0.2530 0.2530 0.3037
N1 0.3810 0.3810 0.0916

---

3.
Below is a relaxed GaSiHSN crystal, with properties calculated at the PBE-GGA level.

Results
* space group: Pm (6)
* crystal system: monoclinic
* E above lowest polymorph: 7 meV/atom

Cell: 4.4755 3.1583 5.1219 Å, 90.00 111.29 90.00°
Atoms (fractional coordinates):
Ga1 0.0000 0.0000 0.0000
Si1 0.2774 0.5000 0.7355
H1 0.5602 0.0000 0.5324
S1 0.8960 0.5000 0.3181
N1 0.5149 0.0000 0.7170

---

4.
Below is a relaxed GaSiHSN crystal, with properties calculated at the PBE-GGA level.

Results
* space group: Cm (8)
* crystal system: monoclinic
* E above lowest polymorph: 117 meV/atom

Cell: 4.9144 4.9144 6.1135 Å, 95.49 95.49 33.77°
Atoms (fractional coordinates):
Ga1 0.0000 0.0000 0.0000
Si1 0.7595 0.7595 0.7863
H1 0.5182 0.5182 0.1628
S1 0.8001 0.8001 0.4513
N1 0.1752 0.1752 0.8637

---

5.
Below is a relaxed GaSiHSN crystal, with properties calculated at the PBE-GGA level.

Results
* space group: P1 (1)
* crystal system: triclinic
* E above lowest polymorph: 18 meV/atom

Cell: 3.0490 3.2533 8.1363 Å, 89.48 89.92 89.93°
Atoms (fractional coordinates):
Ga1 0.0000 0.0000 0.0000
Si1 0.0049 0.4466 0.5069
H1 0.5039 0.5219 0.7370
S1 0.0064 0.9557 0.3343
N1 0.5046 0.4345 0.6157

---

6.
Below is a relaxed GaSiHSN crystal, with properties calculated at the PBE-GGA level.

Results
* space group: P1 (1)
* crystal system: triclinic
* E above lowest polymorph: 36 meV/atom

Cell: 2.8991 3.3753 8.3439 Å, 101.25 93.89 90.14°
Atoms (fractional coordinates):
Ga1 0.0000 0.0000 0.0000
Si1 0.5695 0.1712 0.3552
H1 0.9900 0.4708 0.9396
S1 0.6036 0.7560 0.5309
N1 0.0477 0.1179 0.2445

---

7.
Below is a relaxed GaSiHSN crystal, with properties calculated at the PBE-GGA level.

Results
* space group: Cm (8)
* crystal system: monoclinic
* E above lowest polymorph: 0 meV/atom

Cell: 3.0794 3.0794 8.6450 Å, 100.64 100.64 59.75°
Atoms (fractional coordinates):
Ga1 0.0000 0.0000 0.0000
Si1 0.1675 0.1675 0.5164
H1 0.4236 0.4236 0.2911
S1 0.8921 0.8921 0.6832
N1 0.4656 0.4656 0.4138

---

8.
Below is a relaxed GaSiHSN crystal, with properties calculated at the PBE-GGA level.

Results
* space group: Cm (8)
* crystal system: monoclinic
* E above lowest polymorph: 18 meV/atom

Cell: 4.9947 4.9947 5.7917 Å, 118.87 118.87 44.27°
Atoms (fractional coordinates):
Ga1 0.0000 0.0000 0.0000
Si1 0.2820 0.2820 0.7892
H1 0.9945 0.9945 0.5772
S1 0.2540 0.2540 0.3996
N1 0.0947 0.0947 0.7736

---

9.
Below is a relaxed GaSiHSN crystal, with properties calculated at the PBE-GGA level.

Results
* space group: Cm (8)
* crystal system: monoclinic
* E above lowest polymorph: 36 meV/atom

Cell: 8.4331 8.4331 3.3760 Å, 100.77 100.77 19.79°
Atoms (fractional coordinates):
Ga1 0.0000 0.0000 0.0000
Si1 0.3222 0.3222 0.8341
H1 0.0301 0.0301 0.5281
S1 0.2343 0.2343 0.2520
N1 0.8776 0.8776 0.8858

---

10.
Below is a relaxed GaSiHSN crystal, with properties calculated at the PBE-GGA level.

Results
* space group: Cm (8)
* crystal system: monoclinic
* E above lowest polymorph: 49 meV/atom

Cell: 6.0021 6.0021 4.8187 Å, 109.15 109.15 28.24°
Atoms (fractional coordinates):
Ga1 0.0000 0.0000 0.0000
Si1 0.2586 0.2586 0.6338
H1 0.2597 0.2597 0.3240
S1 0.0597 0.0597 0.5445
N1 0.8212 0.8212 0.8124

---

11.
Below is a relaxed GaSiHSN crystal, with properties calculated at the PBE-GGA level.

Results
* space group: P1 (1)
* crystal system: triclinic
* E above lowest polymorph: 44 meV/atom

Cell: 3.0788 4.3595 5.5916 Å, 106.93 90.50 97.96°
Atoms (fractional coordinates):
Ga1 0.0000 0.0000 0.0000
Si1 0.4333 0.6560 0.5010
H1 0.3664 0.3050 0.4848
S1 0.4090 0.5984 0.0929
N1 0.9677 0.8237 0.6290

---

12.
Below is a relaxed GaSiHSN crystal, with properties calculated at the PBE-GGA level.

Results
* space group: Amm2 (38)
* crystal system: orthorhombic
* E above lowest polymorph: 59 meV/atom

Cell: 3.1785 7.4204 7.4204 Å, 25.54 90.00 90.00°
Atoms (fractional coordinates):
Ga1 0.0000 0.0000 0.0000
Si1 0.5000 0.6587 0.6587
H1 0.5000 0.9558 0.9558
S1 0.5000 0.2531 0.2531
N1 0.0000 0.5941 0.5941

---

13.
Below is a relaxed GaSiHSN crystal, with properties calculated at the PBE-GGA level.

Results
* space group: Pm (6)
* crystal system: monoclinic
* E above lowest polymorph: 28 meV/atom

Cell: 3.3725 2.8919 8.1490 Å, 90.00 93.97 90.00°
Atoms (fractional coordinates):
Ga1 0.0000 0.0000 0.0000
Si1 0.0617 0.5000 0.3575
H1 0.4903 0.0000 0.9405
S1 0.5913 0.5000 0.5352
N1 0.0431 0.0000 0.2466

---

14.
Below is a relaxed GaSiHSN crystal, with properties calculated at the PBE-GGA level.

Results
* space group: P1 (1)
* crystal system: triclinic
* E above lowest polymorph: 122 meV/atom

Cell: 3.0123 5.0812 6.1082 Å, 109.39 90.31 106.67°
Atoms (fractional coordinates):
Ga1 0.0000 0.0000 0.0000
Si1 0.8001 0.6255 0.1824
H1 0.3816 0.0543 0.5487
S1 0.9208 0.9231 0.5608
N1 0.2060 0.4315 0.1348

---

15.
Below is a relaxed GaSiHSN crystal, with properties calculated at the PBE-GGA level.

Results
* space group: Pm (6)
* crystal system: monoclinic
* E above lowest polymorph: 39 meV/atom

Cell: 4.1472 3.0804 5.6511 Å, 90.00 109.83 90.00°
Atoms (fractional coordinates):
Ga1 0.0000 0.0000 0.0000
Si1 0.6069 0.5000 0.4983
H1 0.2393 0.5000 0.4781
S1 0.5297 0.5000 0.0888
N1 0.7877 0.0000 0.6286

---

16.
Below is a relaxed GaSiHSN crystal, with properties calculated at the PBE-GGA level.

Results
* space group: P1 (1)
* crystal system: triclinic
* E above lowest polymorph: 209 meV/atom

Cell: 3.2135 4.9704 5.6645 Å, 103.85 91.85 105.61°
Atoms (fractional coordinates):
Ga1 0.0000 0.0000 0.0000
Si1 0.7387 0.5812 0.1678
H1 0.4700 0.5123 0.6112
S1 0.8845 0.6470 0.5757
N1 0.5908 0.2182 0.0293

---

17.
Below is a relaxed GaSiHSN crystal, with properties calculated at the PBE-GGA level.

Results
* space group: Cm (8)
* crystal system: monoclinic
* E above lowest polymorph: 122 meV/atom

Cell: 4.8315 4.8315 5.8264 Å, 112.77 112.77 36.93°
Atoms (fractional coordinates):
Ga1 0.0000 0.0000 0.0000
Si1 0.1679 0.1679 0.7255
H1 0.5765 0.5765 0.0284
S1 0.9613 0.9613 0.3802
N1 0.7712 0.7712 0.7800

---

18.
Below is a relaxed GaSiHSN crystal, with properties calculated at the PBE-GGA level.

Results
* space group: Amm2 (38)
* crystal system: orthorhombic
* E above lowest polymorph: 5 meV/atom

Cell: 3.7063 7.0101 7.0101 Å, 26.22 90.00 90.00°
Atoms (fractional coordinates):
Ga1 0.0000 0.0000 0.0000
Si1 0.5000 0.8755 0.8755
H1 0.5000 0.2385 0.2385
S1 0.0000 0.6111 0.6111
N1 0.5000 0.3139 0.3139

---

19.
Below is a relaxed GaSiHSN crystal, with properties calculated at the PBE-GGA level.

Results
* space group: Pm (6)
* crystal system: monoclinic
* E above lowest polymorph: 101 meV/atom

Cell: 4.8141 3.1178 5.5569 Å, 90.00 115.58 90.00°
Atoms (fractional coordinates):
Ga1 0.0000 0.0000 0.0000
Si1 0.3630 0.5000 0.6706
H1 0.1949 0.5000 0.8689
S1 0.9473 0.5000 0.3069
N1 0.5518 0.0000 0.7241

---

20.
Below is a relaxed GaSiHSN crystal, with properties calculated at the PBE-GGA level.

Results
* space group: P1 (1)
* crystal system: triclinic
* E above lowest polymorph: 83 meV/atom

Cell: 3.0070 5.2668 5.4954 Å, 66.59 74.22 73.57°
Atoms (fractional coordinates):
Ga1 0.0000 0.0000 0.0000
Si1 0.2895 0.6320 0.7968
H1 0.7150 0.3934 0.1866
S1 0.9143 0.7142 0.4629
N1 0.8048 0.4130 0.9852

---

Number 1: density of states at the Fermi level 0.924 states/eV/cell, magnetic moment 0.000 μB/atom. Number 2: density of states at the Fermi level 1.519 states/eV/cell, magnetic moment 0.000 μB/atom. Number 3: density of states at the Fermi level 0.674 states/eV/cell, magnetic moment 0.000 μB/atom. Number 4: density of states at the Fermi level 1.382 states/eV/cell, magnetic moment 0.000 μB/atom. Number 5: density of states at the Fermi level 1.030 states/eV/cell, magnetic moment 0.000 μB/atom. Number 6: density of states at the Fermi level 1.616 states/eV/cell, magnetic moment 0.000 μB/atom. Number 7: density of states at the Fermi level 0.500 states/eV/cell, magnetic moment 0.000 μB/atom. Number 8: density of states at the Fermi level 0.469 states/eV/cell, magnetic moment 0.000 μB/atom. Number 9: density of states at the Fermi level 1.619 states/eV/cell, magnetic moment 0.000 μB/atom. Number 10: density of states at the Fermi level 2.161 states/eV/cell, magnetic moment 0.016 μB/atom. Number 11: density of states at the Fermi level 0.745 states/eV/cell, magnetic moment 0.000 μB/atom. Number 12: density of states at the Fermi level 1.102 states/eV/cell, magnetic moment 0.000 μB/atom. Number 13: density of states at the Fermi level 1.276 states/eV/cell, magnetic moment 0.000 μB/atom. Number 14: density of states at the Fermi level 0.391 states/eV/cell, magnetic moment 0.000 μB/atom. Number 15: density of states at the Fermi level 0.892 states/eV/cell, magnetic moment 0.000 μB/atom. Number 16: density of states at the Fermi level 0.597 states/eV/cell, magnetic moment 0.000 μB/atom. Number 17: density of states at the Fermi level 0.544 states/eV/cell, magnetic moment 0.000 μB/atom. Number 18: density of states at the Fermi level 1.444 states/eV/cell, magnetic moment 0.000 μB/atom. Number 19: density of states at the Fermi level 0.939 states/eV/cell, magnetic moment 0.000 μB/atom. Number 20: density of states at the Fermi level 0.681 states/eV/cell, magnetic moment 0.000 μB/atom.